[1]
## Sr2POs (PBE)

Data for Sr2POs after structural relaxation. Values from VASP.

Quantum ESPRESSO input file:
```
&SYSTEM
  ibrav = 0, nat = 4, ntyp = 3
/
ATOMIC_SPECIES
Sr 87.62 Sr.upf
P 30.97 P.upf
Os 190.23 Os.upf
CELL_PARAMETERS angstrom
3.301 0.000 0.000
0.000 3.301 0.000
0.000 0.000 9.138
ATOMIC_POSITIONS angstrom
Sr 0.000 0.000 8.407
Sr 1.650 1.650 2.939
P 1.650 1.650 6.213
Os 0.000 0.000 5.287
```

crystal system: tetragonal


[2]
## SrPOs2 (PBE)

Data for SrPOs2 after structural relaxation. Values from VASP.

Quantum ESPRESSO input file:
```
&SYSTEM
  ibrav = 0, nat = 4, ntyp = 3
/
ATOMIC_SPECIES
Sr 87.62 Sr.upf
P 30.97 P.upf
Os 190.23 Os.upf
CELL_PARAMETERS angstrom
2.701 -4.447 0.000
2.701 4.447 0.000
0.000 0.000 2.994
ATOMIC_POSITIONS angstrom
Sr 2.701 0.000 1.497
P 0.000 0.000 1.497
Os 1.351 -2.223 0.000
Os 1.351 2.223 0.000
```

crystal system: orthorhombic


[3]
## SrPOs2 (PBE)

Data for SrPOs2 after structural relaxation. Values from VASP.

Quantum ESPRESSO input file:
```
&SYSTEM
  ibrav = 0, nat = 4, ntyp = 3
/
ATOMIC_SPECIES
Sr 87.62 Sr.upf
P 30.97 P.upf
Os 190.23 Os.upf
CELL_PARAMETERS angstrom
-2.713 0.251 1.248
-0.995 -2.251 -1.710
2.066 -5.104 5.516
ATOMIC_POSITIONS angstrom
Sr -0.317 -4.798 3.873
P 0.902 -2.229 2.409
Os 0.101 -0.250 0.271
Os -1.296 -2.379 1.259
```

crystal system: tetragonal


no.,E_form (meV per atom)
1,25
2,1139
3,236